1.
VASP calculation (PBE) on an optimized crystal structure of Y2HoAgN.

Lattice parameters (Å, degrees): 4.818 4.818 4.745 90.00 90.00 90.00
Positions (direct):
Y (0.500, 0.000, 0.000)
Y (0.000, 0.500, 0.000)
Ho (0.000, 0.000, 0.500)
Ag (0.500, 0.500, 0.500)
N (0.000, 0.000, 0.000)

Calculated values
Fermi-level density of states, states/eV/f.u.: 7.234
E_form (uncorrected), eV/atom: -0.751



2.
VASP calculation (PBE) on an optimized crystal structure of NaHoAg2.

Lattice parameters (Å, degrees): 3.601 3.601 7.467 90.00 90.00 90.00
Positions (direct):
Ho (0.500, 0.500, 0.000)
Na (0.500, 0.500, 0.500)
Ag (0.000, 0.000, 0.774)
Ag (0.000, 0.000, 0.226)

Calculated values
Energy of formation, eV per atom: -0.1471
Fermi-level density of states, states/eV/f.u.: 2.259
Relative energy among the computed polymorphs, meV/atom: 0



3.
VASP calculation (PBE) on an optimized crystal structure of NaHoAg2.

Lattice parameters (Å, degrees): 5.045 5.045 5.045 60.00 60.00 60.00
Positions (direct):
Ag (0.250, 0.250, 0.250)
Ag (0.750, 0.750, 0.750)
Na (0.500, 0.500, 0.500)
Ho (0.000, 0.000, 0.000)

Calculated values
Energy of formation, eV per atom: -0.1000
Fermi-level density of states, states/eV/f.u.: 2.221
Relative energy among the computed polymorphs, meV/atom: 47



4.
VASP calculation (PBE) on an optimized crystal structure of Na2HoAg.

Lattice parameters (Å, degrees): 3.299 3.299 11.806 81.97 81.97 60.00
Positions (direct):
Na (0.096, 0.096, 0.711)
Na (0.904, 0.904, 0.289)
Ho (0.000, 0.000, 0.000)
Ag (0.500, 0.500, 0.500)

Calculated values
Energy of formation, eV per atom: 0.2280
Fermi-level density of states, states/eV/f.u.: 2.370



5.
VASP calculation (PBE) on an optimized crystal structure of NaHoAg.

Lattice parameters (Å, degrees): 4.190 4.190 9.606 102.19 102.19 88.26
Each line ends with the local moment (μB).
Positions (direct):
Ag (0.153, 0.153, 0.789)  0.01
Ag (0.847, 0.847, 0.211)  0.01
Na (0.248, 0.248, 0.491)  0.00
Na (0.752, 0.752, 0.509)  0.00
Ho (0.694, 0.694, 0.882)  0.08
Ho (0.306, 0.306, 0.118)  0.08

Calculated values
Energy of formation, eV per atom: -0.0040
Fermi-level density of states, states/eV/f.u.: 2.081



6.
VASP calculation (PBE) on an optimized crystal structure of NaHoAg2.

Lattice parameters (Å, degrees): 3.651 3.651 9.177 78.53 78.53 60.00
Positions (direct):
Ho (0.000, 0.000, 0.000)
Ag (0.253, 0.253, 0.240)
Ag (0.747, 0.747, 0.760)
Na (0.500, 0.500, 0.500)

Calculated values
Energy of formation, eV per atom: 0.0182
Fermi-level density of states, states/eV/f.u.: 2.217
Relative energy among the computed polymorphs, meV/atom: 165



7.
VASP calculation (PBE) on an optimized crystal structure of NaHo2AgS4.

Lattice parameters (Å, degrees): 7.939 7.939 7.844 119.62 119.62 90.20
Positions (direct):
Ho (0.500, 0.000, 0.000)
Ho (0.500, 0.000, 0.500)
Ho (0.500, 0.500, 0.000)
Ho (0.000, 0.000, 0.500)
Na (0.000, 0.500, 0.000)
Na (0.000, 0.500, 0.500)
S (0.256, 0.244, 0.991)
S (0.256, 0.770, 0.513)
S (0.744, 0.230, 0.487)
S (0.744, 0.756, 0.491)
S (0.270, 0.756, 0.013)
S (0.730, 0.244, 0.987)
S (0.744, 0.756, 0.009)
S (0.256, 0.244, 0.509)
Ag (0.000, 0.000, 0.000)
Ag (0.500, 0.500, 0.500)

Calculated values
Fermi-level density of states, states/eV/f.u.: 0.000
E_form (uncorrected), eV/atom: -1.564



8.
VASP calculation (PBE) on an optimized crystal structure of NaHoAgSe2.

Lattice parameters (Å, degrees): 4.978 7.097 7.781 98.78 90.00 90.00
Positions (direct):
Ho (0.506, 0.000, 0.750)
Ho (0.494, 0.000, 0.250)
Se (0.363, 0.274, 0.036)
Se (0.363, 0.726, 0.464)
Se (0.637, 0.726, 0.964)
Se (0.637, 0.274, 0.536)
Na (0.876, 0.500, 0.250)
Na (0.124, 0.500, 0.750)
Ag (0.000, 0.000, 0.500)
Ag (0.000, 0.000, 0.000)

Calculated values
Fermi-level density of states, states/eV/f.u.: 2.012
E_form (uncorrected), eV/atom: -0.943



9.
VASP calculation (PBE) on an optimized crystal structure of NaHo3Ag2Te6.

Lattice parameters (Å, degrees): 4.431 8.730 10.390 105.58 102.31 90.00
Positions (direct):
Te (0.667, 0.059, 0.334)
Te (0.333, 0.941, 0.666)
Te (0.984, 0.251, 0.969)
Te (0.016, 0.749, 0.031)
Te (0.343, 0.455, 0.686)
Te (0.657, 0.545, 0.314)
Ag (0.212, 0.254, 0.424)
Ag (0.788, 0.746, 0.576)
Ho (0.500, 0.500, 0.000)
Ho (0.171, 0.802, 0.342)
Ho (0.829, 0.198, 0.658)
Na (0.500, 0.000, 0.000)

Calculated values
E_form (uncorrected), eV/atom: -0.991



10.
VASP calculation (PBE) on an optimized crystal structure of NaHoAgTe2.

Lattice parameters (Å, degrees): 4.962 7.708 8.211 97.89 90.00 90.00
Positions (direct):
Ho (0.497, 0.000, 0.250)
Ho (0.503, 0.000, 0.750)
Te (0.644, 0.279, 0.534)
Te (0.644, 0.721, 0.966)
Te (0.356, 0.279, 0.034)
Te (0.356, 0.721, 0.466)
Na (0.879, 0.500, 0.250)
Na (0.121, 0.500, 0.750)
Ag (0.000, 0.000, 0.000)
Ag (0.000, 0.000, 0.500)

Calculated values
Fermi-level density of states, states/eV/f.u.: 2.374
E_form (uncorrected), eV/atom: -0.712



11.
VASP calculation (PBE) on an optimized crystal structure of NaHo2AgTe4.

Lattice parameters (Å, degrees): 4.359 7.567 15.629 90.00 90.00 106.74
Positions (direct):
Na (0.135, 0.269, 0.750)
Na (0.865, 0.731, 0.250)
Te (0.725, 0.449, 0.610)
Te (0.465, 0.931, 0.750)
Te (0.275, 0.551, 0.110)
Te (0.275, 0.551, 0.390)
Te (0.000, 0.000, 0.000)
Te (0.535, 0.069, 0.250)
Te (0.000, 0.000, 0.500)
Te (0.725, 0.449, 0.890)
Ho (0.369, 0.737, 0.927)
Ho (0.631, 0.263, 0.073)
Ho (0.369, 0.737, 0.573)
Ho (0.631, 0.263, 0.427)
Ag (0.154, 0.308, 0.250)
Ag (0.846, 0.692, 0.750)

Calculated values
E_form (uncorrected), eV/atom: -1.078



12.
VASP calculation (PBE) on an optimized crystal structure of NaHoTlAg.

Lattice parameters (Å, degrees): 5.168 5.168 5.168 60.00 60.00 60.00
Positions (direct):
Tl (0.750, 0.750, 0.750)
Ag (0.250, 0.250, 0.250)
Na (0.000, 0.000, 0.000)
Ho (0.500, 0.500, 0.500)

Calculated values
Energy of formation, eV per atom: -0.1432
Fermi-level density of states, states/eV/f.u.: 2.556